1.
Here is an optimized crystal structure of Ag3SbAu from Alexandria via LeMat-Bulk. Energies are from GGA-PBE.

Summary:
E (eV for the cell shown): -29.78
Formation energy from raw total energies (eV/atom): 0.213
Symmetry: No. 194
ΔE to the lowest computed polymorph (eV/atom): 0.1445

POSCAR file:
```
Ag3SbAu
1.0
-3.551 -3.608 -1.777
4.453 -5.089 1.438
-4.525 2.094 4.789
Ag Sb Au
6 2 2
Cartesian
-3.614 -4.082 3.359
-0.038 -3.718 3.576
-5.390 -2.052 2.785
1.767 -4.552 1.665
-0.009 -2.522 1.091
-3.585 -2.886 0.874
-1.202 -5.401 1.223
-2.421 -1.203 3.227
-1.775 -1.804 -0.888
0.000 0.000 0.000
```



2.
Here is an optimized crystal structure of AgSbAu2 from Alexandria via LeMat-Bulk. Energies are from GGA-PBE.

Summary:
E (eV for the cell shown): -13.17
Formation energy from raw total energies (eV/atom): 0.090
Symmetry: No. 166

POSCAR file:
```
AgSbAu2
1.0
-6.451 -0.183 -4.653
-4.020 -2.087 -6.540
-5.893 -3.674 -3.882
Ag Au Sb
1 2 1
Cartesian
-12.273 -4.458 -11.307
-8.164 -2.966 -7.521
-0.018 -0.007 -0.017
-4.091 -1.486 -3.769
```